# 1
Material: SiIr2O
Method: DFT, PBE
State: relaxed

Lattice parameters (Å, degrees): 7.540 7.540 7.540 148.80 148.80 44.71
Fractional positions:
Si: 0.000 0.000 0.000
Si: 0.750 0.250 0.500
Ir: 0.172 0.625 0.047
Ir: 0.375 0.422 0.547
Ir: 0.578 0.125 0.953
Ir: 0.875 0.828 0.453
O: 0.250 0.750 0.500
O: 0.500 0.500 0.000

Results
Energy relative to the lowest polymorph listed for this composition = 0.0000 eV/atom
Total magnetic moment = 0.00 Bohr magnetons per cell
Energy relative to the elements, uncorrected = 0.04 eV per formula unit

# 2
Material: PuPa3Os
Method: DFT, PBE
State: relaxed

Lattice parameters (Å, degrees): 6.305 6.305 8.935 116.94 116.94 43.82
Fractional positions:
Pu: 0.108 0.108 0.109
Pu: 0.892 0.892 0.891
Pa: 0.041 0.041 0.339
Pa: 0.303 0.303 0.738
Pa: 0.356 0.356 0.133
Pa: 0.644 0.644 0.867
Pa: 0.697 0.697 0.262
Pa: 0.959 0.959 0.661
Os: 0.369 0.369 0.456
Os: 0.631 0.631 0.544

Results
Total magnetic moment = 0.00 Bohr magnetons per cell
Uncorrected energy = -10.864 eV per atom

# 3
Material: LaCuTe2N
Method: DFT, PBE
State: relaxed

Lattice parameters (Å, degrees): 5.454 5.454 3.908 90.00 90.00 90.00
Fractional positions:
La: 0.000 0.000 0.000
Cu: 0.500 0.500 0.500
Te: 0.000 0.500 0.500
Te: 0.500 0.000 0.500
N: 0.500 0.500 0.000

Results
Energy relative to the lowest polymorph listed for this composition = 0.0000 eV/atom
Total magnetic moment = 1.69 Bohr magnetons per cell
Energy relative to the elements, uncorrected = -0.34 eV per formula unit

# 4
Material: KSc2BN
Method: DFT, PBE
State: relaxed

Lattice parameters (Å, degrees): 4.612 4.612 4.527 90.00 90.00 90.00
Fractional positions:
K: 0.000 0.000 0.000
Sc: 0.000 0.500 0.500
Sc: 0.500 0.000 0.500
B: 0.500 0.500 0.500
N: 0.500 0.500 0.000

Results
Total magnetic moment = 0.00 Bohr magnetons per cell
Energy relative to the elements, uncorrected = 5.20 eV per formula unit

# 5
Material: NaNb2Ru
Method: DFT, PBE
State: relaxed

Lattice parameters (Å, degrees): 10.738 10.738 10.738 15.39 15.39 15.39
Fractional positions:
Na: 0.000 0.000 0.000
Nb: 0.097 0.097 0.097
Nb: 0.903 0.903 0.903
Ru: 0.500 0.500 0.500

Results
Energy relative to the lowest polymorph listed for this composition = 0.0000 eV/atom
Total magnetic moment = 0.00 Bohr magnetons per cell

# 6
Material: Tm2TcH
Method: DFT, PBE
State: relaxed

Lattice parameters (Å, degrees): 7.240 7.240 7.240 27.40 27.40 27.40
Fractional positions:
Tm: 0.238 0.238 0.238
Tm: 0.762 0.762 0.762
Tc: 0.000 0.000 0.000
H: 0.500 0.500 0.500

Results
Total magnetic moment = 0.00 Bohr magnetons per cell
Uncorrected energy = -5.745 eV per atom